## MnAlHO2 (PBE+U)

Data for a relaxed MnAlHO2 crystal.

Properties
**Final energy**: -32.09 eV per cell
**ρ**: 4.123 g cm⁻³
**Fermi-level density of states**: 0.00 states/eV/f.u.

Cell lengths 3.741, 3.741, 3.307 Å; angles 90.00, 90.00, 90.00 degrees
Atoms (fractional coordinates):
Mn: 0.000 0.000 0.000
Al: 0.500 0.500 0.500
H: 0.500 0.500 0.000
O: 0.000 0.500 0.500
O: 0.500 0.000 0.500